A relaxed Sm5Co2 crystal, computed with PBEsol.

Calculated values
uncorrected energy	-5.9519	eV/atom

Geometry as POSCAR:
```
Sm5Co2
1.0
8.051 -3.147 0.000
8.051 3.147 0.000
-0.766 0.000 6.821
Sm Co
10 4
direct
0.070 0.930 0.750 Sm
0.146 0.284 0.317 Sm
0.284 0.146 0.817 Sm
0.298 0.513 0.085 Sm
0.487 0.702 0.415 Sm
0.513 0.298 0.585 Sm
0.702 0.487 0.915 Sm
0.716 0.854 0.183 Sm
0.854 0.716 0.683 Sm
0.930 0.070 0.250 Sm
0.097 0.682 0.427 Co
0.318 0.903 0.073 Co
0.682 0.097 0.927 Co
0.903 0.318 0.573 Co
```

---

A relaxed SmCo2 crystal, computed with PBEsol.

Calculated values
uncorrected energy	-6.9592	eV/atom

Geometry as POSCAR:
```
SmCo2
1.0
0.000 3.541 3.541
3.541 0.000 3.541
3.541 3.541 0.000
Sm Co
2 4
direct
0.125 0.125 0.125 Sm
0.875 0.875 0.875 Sm
0.000 0.500 0.500 Co
0.500 0.000 0.500 Co
0.500 0.500 0.000 Co
0.500 0.500 0.500 Co
```

---

A relaxed Sm3Co crystal, computed with PBEsol.

Calculated values
uncorrected energy	-5.8483	eV/atom

Geometry as POSCAR:
```
Sm3Co
1.0
6.899 0.000 0.000
0.000 9.549 0.000
0.000 0.000 6.217
Sm Co
12 4
direct
0.043 0.250 0.145 Sm
0.172 0.068 0.675 Sm
0.172 0.432 0.675 Sm
0.328 0.568 0.175 Sm
0.328 0.932 0.175 Sm
0.457 0.750 0.645 Sm
0.543 0.250 0.355 Sm
0.672 0.068 0.825 Sm
0.672 0.432 0.825 Sm
0.828 0.568 0.325 Sm
0.828 0.932 0.325 Sm
0.957 0.750 0.855 Sm
0.115 0.750 0.441 Co
0.385 0.250 0.941 Co
0.615 0.750 0.059 Co
0.885 0.250 0.559 Co
```

---

A relaxed Sm2Co7 crystal, computed with PBEsol.

Calculated values
uncorrected energy	-7.2260	eV/atom

Geometry as POSCAR:
```
Sm2Co7
1.0
4.913 0.000 0.000
-2.456 4.255 0.000
0.000 0.000 23.892
Sm Co
8 28
direct
0.333 0.667 0.028 Sm
0.333 0.667 0.173 Sm
0.333 0.667 0.327 Sm
0.333 0.667 0.472 Sm
0.667 0.333 0.528 Sm
0.667 0.333 0.673 Sm
0.667 0.333 0.827 Sm
0.667 0.333 0.972 Sm
0.000 0.000 0.000 Co
0.000 0.000 0.168 Co
0.000 0.000 0.332 Co
0.000 0.000 0.500 Co
0.000 0.000 0.668 Co
0.000 0.000 0.832 Co
0.166 0.331 0.588 Co
0.166 0.331 0.912 Co
0.166 0.332 0.750 Co
0.166 0.834 0.588 Co
0.166 0.834 0.750 Co
0.166 0.834 0.912 Co
0.331 0.166 0.088 Co
0.331 0.166 0.412 Co
0.332 0.166 0.250 Co
0.333 0.667 0.668 Co
0.333 0.667 0.832 Co
0.667 0.333 0.168 Co
0.667 0.333 0.332 Co
0.668 0.834 0.750 Co
0.669 0.834 0.588 Co
0.669 0.834 0.912 Co
0.834 0.166 0.088 Co
0.834 0.166 0.250 Co
0.834 0.166 0.412 Co
0.834 0.668 0.250 Co
0.834 0.669 0.088 Co
0.834 0.669 0.412 Co
```